Entry 1:
A plane-wave DFT calculation with PBEsol was carried out for crystalline KAlGa3 at its relaxed geometry.

Summary:
**D(E_F)**: 3.60 states/eV per cell
**ρ**: 2.81 Mg/m³
**Volume**: 162 Å³/f.u.

Lattice parameters (Å, degrees): 5.4562 5.4562 5.4562 90.00 90.00 90.00
Last column: nearest neighbours and their distance in Å.
Sites, in units of the cell vectors:
K: 0.0000 0.0000 0.0000  6 Ga 2.73
Al: 0.5000 0.5000 0.5000  12 Ga 3.86
Ga: 0.0000 0.5000 0.0000  2 K 2.73
Ga: 0.0000 0.0000 0.5000  2 K 2.73
Ga: 0.5000 0.0000 0.0000  2 K 2.73

***

Entry 2:
A plane-wave DFT calculation with PBEsol was carried out for crystalline KMgAl2Ga at its relaxed geometry.

Summary:
**D(E_F)**: 5.54 states/eV per cell
**ρ**: 1.70 Mg/m³
**Volume**: 183 Å³/f.u.

Lattice parameters (Å, degrees): 5.6509 5.6509 5.7387 90.00 90.00 90.00
Last column: nearest neighbours and their distance in Å.
Sites, in units of the cell vectors:
Mg: 0.0000 0.0000 0.5000  2 K 2.87
K: 0.0000 0.0000 0.0000  4 Al 2.83, 2 Mg 2.87
Al: 0.0000 0.5000 0.0000  2 K 2.83
Al: 0.5000 0.0000 0.0000  2 K 2.83
Ga: 0.5000 0.5000 0.5000  4 Mg 4.00, 8 Al 4.03

***

Entry 3:
A plane-wave DFT calculation with PBEsol was carried out for crystalline LaAl2Ga2 at its relaxed geometry.

Summary:
**D(E_F)**: 2.40 states/eV per cell
**ρ**: 5.57 Mg/m³
**Volume**: 99 Å³/f.u.

Lattice parameters (Å, degrees): 4.2094 4.2094 6.3327 109.41 109.41 90.00
Last column: nearest neighbours and their distance in Å.
Sites, in units of the cell vectors:
Al: 0.2500 0.7500 0.5000  4 Ga 2.61
Al: 0.7500 0.2500 0.5000  4 Ga 2.61
Ga: 0.3877 0.3877 0.7754  1 Ga 2.51, 4 Al 2.61
Ga: 0.6123 0.6123 0.2246  1 Ga 2.51, 4 Al 2.61
La: 0.0000 0.0000 0.0000  8 Ga 3.23, 8 Al 3.50

***

Entry 4:
A plane-wave DFT calculation with PBEsol was carried out for crystalline Li2AlGa2 at its relaxed geometry.

Summary:
**D(E_F)**: 3.25 states/eV per cell
**ρ**: 3.76 Mg/m³
**Volume**: 80 Å³/f.u.

Lattice parameters (Å, degrees): 3.3249 6.9237 6.9237 90.00 90.00 90.00
Last column: nearest neighbours and their distance in Å.
Sites, in units of the cell vectors:
Al: 0.0000 0.0000 0.0000  4 Ga 2.71
Al: 0.0000 0.5000 0.5000  4 Ga 2.71
Ga: 0.0000 0.3691 0.8691  1 Ga 2.56, 6 Li 2.56-2.68, 2 Al 2.71
Ga: 0.0000 0.8691 0.6309  1 Ga 2.56, 6 Li 2.56-2.68, 2 Al 2.71
Ga: 0.0000 0.6309 0.1309  1 Ga 2.56, 6 Li 2.56-2.68, 2 Al 2.71
Ga: 0.0000 0.1309 0.3691  1 Ga 2.56, 6 Li 2.56-2.68, 2 Al 2.71
Li: 0.5000 0.1698 0.6698  6 Ga 2.56-2.68
Li: 0.5000 0.6698 0.8302  6 Ga 2.56-2.68
Li: 0.5000 0.8302 0.3302  6 Ga 2.56-2.68
Li: 0.5000 0.3302 0.1698  6 Ga 2.56-2.68

***

Number 1: calculated total energy -1.745 eV per atom. Number 2: calculated total energy -1.404 eV per atom. Number 3: calculated total energy -4.558 eV per atom. Number 4: calculated total energy -3.111 eV per atom.